[1]
This record from the Alexandria database describes an optimized crystal structure of NdGa3Pt3. The functional is PBE-GGA.

Cell: 6.8426 6.8426 6.8426 Å, 90.00 90.00 90.00°
Closest atoms and distances in Å follow each position.
Space group Pm-3n (No. 223)
One atom of each set of equivalent atoms:
Nd 0.0000 0.0000 0.0000 [2 per cell]  12 Pt 3.83, 12 Ga 3.83
Ga 0.0000 0.2500 0.5000 [6 per cell]  4 Pt 2.42
Pt 0.0000 0.5000 0.2500 [6 per cell]  4 Ga 2.42

## Properties
For the energy of formation from the pure elements, the calculation gives -0.46 eV per atom. The value obtained for the volume is 22.88 A^3/atom.


[2]
This record from the Alexandria database describes an optimized crystal structure of ErZrInPd. The functional is PBE-GGA.

Cell: 7.0763 7.0763 7.0763 Å, 90.00 90.00 90.00°
Closest atoms and distances in Å follow each position.
Space group F-43m (No. 216)
One atom of each set of equivalent atoms:
Er 0.0000 0.0000 0.0000 [4 per cell]  4 In 3.06, 4 Pd 3.06
Zr 0.0000 0.0000 0.5000 [4 per cell]  4 In 3.06, 4 Pd 3.06
In 0.2500 0.2500 0.2500 [4 per cell]  4 Zr 3.06, 4 Er 3.06
Pd 0.2500 0.2500 0.7500 [4 per cell]  4 Zr 3.06, 4 Er 3.06

## Properties
For the energy of formation from the pure elements, the calculation gives -0.43 eV per atom. The value obtained for the volume is 22.15 A^3/atom.


[3]
This record from the Alexandria database describes an optimized crystal structure of TiTeI2Br. The functional is PBE-GGA.

Cell: 5.6478 5.6478 6.0092 Å, 90.00 90.00 90.00°
Closest atoms and distances in Å follow each position.
Space group P4/mmm (No. 123)
One atom of each set of equivalent atoms:
Ti 0.0000 0.0000 0.0000 [1 per cell]  4 Te 3.99, 8 I 4.12
Te 0.5000 0.5000 0.0000 [1 per cell]  2 Br 3.00
I 0.0000 0.5000 0.5000 [2 per cell]  2 Br 2.82
Br 0.5000 0.5000 0.5000 [1 per cell]  4 I 2.82, 2 Te 3.00

## Properties
For the uncorrected energy, the calculation gives -2.23 eV/atom. The value obtained for the volume is 38.34 A^3/atom.


[4]
This record from the Alexandria database describes an optimized crystal structure of CsCaH2CF. The functional is PBE-GGA.

Cell: 4.0663 4.7236 6.2946 Å, 90.00 90.06 90.00°
Closest atoms and distances in Å follow each position.
Space group Pm (No. 6)
One atom of each set of equivalent atoms:
Cs 0.0000 0.0000 0.0000 [1 per cell]  2 C 3.06, 2 F 3.11, 2 H 3.18-3.20
Ca 0.5014 0.5000 0.5082 [1 per cell]  2 F 2.30, 2 C 2.53, 4 H 2.53-2.54
H 0.2823 0.0000 0.4741 [1 per cell]  1 C 1.13
H 0.7225 0.0000 0.4720 [1 per cell]  1 C 1.13
C 0.5010 0.0000 0.3635 [1 per cell]  2 H 1.13
F 0.0017 0.5000 0.6786 [1 per cell]  2 Ca 2.30

## Properties
For the uncorrected energy, the calculation gives -4.35 eV/atom. The value obtained for the volume is 20.15 A^3/atom.


[5]
This record from the Alexandria database describes an optimized crystal structure of CaTa2Hg. The functional is PBE-GGA.

Cell: 2.9494 2.9494 9.7747 Å, 90.00 90.00 90.00°
Closest atoms and distances in Å follow each position.
Space group P4mm (No. 99)
One atom of each set of equivalent atoms:
Ca 0.0000 0.0000 0.0000 [1 per cell]  4 Ca 2.95, 4 Hg 3.24
Ta 0.0000 0.0000 0.4910 [1 per cell]  8 Ta 2.95-3.02, 4 Hg 3.12
Ta 0.5000 0.5000 0.7147 [1 per cell]  8 Ta 2.95-3.02
Hg 0.5000 0.5000 0.2538 [1 per cell]  4 Hg 2.95, 4 Ta 3.12, 4 Ca 3.24

## Properties
For the energy of formation from the pure elements, the calculation gives 0.31 eV per atom. The value obtained for the volume is 21.26 A^3/atom.


[6]
This record from the Alexandria database describes an optimized crystal structure of NaCe5S8. The functional is PBE-GGA.

Cell: 8.5239 8.5239 8.5547 Å, 90.00 90.00 90.00°
Closest atoms and distances in Å follow each position.
Space group I-4 (No. 82)
One atom of each set of equivalent atoms:
Na 0.0000 0.0000 0.0000 [2 per cell]  8 S 2.89-3.14
Ce 0.0000 0.5000 0.7500 [2 per cell]  8 S 2.85-3.01
Ce 0.1293 0.7489 0.3698 [8 per cell]  8 S 2.84-3.07
S 0.0738 0.6723 0.0479 [8 per cell]  5 Ce 2.86-3.06, 1 Na 2.89, 1 S 3.19
S 0.0772 0.8201 0.6898 [8 per cell]  5 Ce 2.84-3.07, 1 Na 3.14

## Properties
For the uncorrected energy, the calculation gives -6.51 eV/atom. The value obtained for the volume is 22.20 A^3/atom.


[7]
This record from the Alexandria database describes an optimized crystal structure of NaSr2TlSe4. The functional is PBE-GGA.

Cell: 8.7913 8.7946 11.9688 Å, 90.00 90.00 90.00°
Closest atoms and distances in Å follow each position.
Space group Imma (No. 74)
One atom of each set of equivalent atoms:
Na 0.2500 0.2500 0.2500 [4 per cell]  6 Se 2.93-3.10
Sr 0.0000 0.0000 0.0000 [4 per cell]  6 Se 3.12-3.22
Sr 0.2500 0.2500 0.7500 [4 per cell]  6 Se 3.05-3.13
Tl 0.0000 0.0000 0.5000 [4 per cell]  2 Se 2.77
Se 0.0000 0.0026 0.2687 [8 per cell]  1 Tl 2.77
Se 0.2488 0.2500 0.4951 [8 per cell]  1 Na 2.93, 3 Sr 3.05-3.12, 2 Tl 3.10

## Properties
For the uncorrected energy, the calculation gives -3.84 eV/atom. The value obtained for the volume is 28.92 A^3/atom.


[8]
This record from the Alexandria database describes an optimized crystal structure of Sr2LiTl6Pd. The functional is PBE-GGA.

Cell: 10.6097 10.6199 7.4861 Å, 90.00 134.68 90.00°
Closest atoms and distances in Å follow each position.
Space group C2/m (No. 12)
One atom of each set of equivalent atoms:
Sr 0.0000 0.2503 0.0000 [4 per cell]  12 Tl 3.74-3.77
Li 0.0000 0.0000 0.5000 [2 per cell]  6 Tl 2.58-2.59
Tl 0.0000 0.2431 0.5000 [4 per cell]  1 Li 2.58, 1 Pd 2.73
Tl 0.2434 0.0000 0.9862 [4 per cell]  1 Li 2.59, 1 Pd 2.74
Tl 0.2439 0.0000 0.5008 [4 per cell]  1 Li 2.58, 1 Pd 2.72
Pd 0.0000 0.5000 0.5000 [2 per cell]  6 Tl 2.72-2.74

## Properties
For the energy of formation from the pure elements, the calculation gives -0.18 eV per atom. The value obtained for the volume is 29.99 A^3/atom.


[9]
This record from the Alexandria database describes an optimized crystal structure of Pr2Rh. The functional is PBE-GGA.

Cell: 5.0829 5.0858 13.3380 Å, 90.00 90.00 90.00°
Closest atoms and distances in Å follow each position.
Space group Fmmm (No. 69)
One atom of each set of equivalent atoms:
Pr 0.0000 0.0000 0.1267 [8 per cell]  4 Rh 3.05, 1 Pr 3.38
Rh 0.0000 0.0000 0.5000 [4 per cell]  8 Pr 3.05

## Properties
For the energy of formation from the pure elements, the calculation gives -0.39 eV per atom. The value obtained for the volume is 28.73 A^3/atom.


[10]
This record from the Alexandria database describes an optimized crystal structure of Li2LaSnHg. The functional is PBE-GGA.

Cell: 4.9378 4.9378 5.9938 Å, 90.00 90.00 90.00°
Closest atoms and distances in Å follow each position.
Space group P4/mmm (No. 123)
One atom of each set of equivalent atoms:
Li 0.0000 0.5000 0.0000 [2 per cell]  2 Hg 2.47
La 0.0000 0.0000 0.5000 [1 per cell]  2 Hg 3.00
Sn 0.5000 0.5000 0.5000 [1 per cell]  4 La 3.49, 8 Li 3.88
Hg 0.0000 0.0000 0.0000 [1 per cell]  4 Li 2.47

## Properties
For the energy of formation from the pure elements, the calculation gives -0.11 eV per atom. The value obtained for the volume is 29.23 A^3/atom.


[11]
This record from the Alexandria database describes an optimized crystal structure of NpAlZn2Au4. The functional is PBE-GGA.

Cell: 4.4925 4.4925 25.8002 Å, 90.00 90.00 120.00°
Closest atoms and distances in Å follow each position.
Space group R-3m (No. 166, hexagonal axes)
One atom of each set of equivalent atoms:
Np 0.0000 0.0000 0.0000 [3 per cell]  6 Au 3.05, 6 Zn 3.40
Al 0.0000 0.0000 0.5000 [3 per cell]  8 Au 2.70-2.74
Zn 0.0000 0.0000 0.2480 [6 per cell]  7 Au 2.66-2.97
Au 0.0000 0.0000 0.1327 [6 per cell]  3 Al 2.74, 4 Zn 2.87-2.97
Au 0.0000 0.0000 0.3954 [6 per cell]  3 Zn 2.66, 1 Al 2.70

## Properties
For the energy of formation from the pure elements, the calculation gives -0.21 eV per atom. The value obtained for the volume is 18.79 A^3/atom.


[12]
This record from the Alexandria database describes an optimized crystal structure of CuNi3S. The functional is PBE-GGA.

Cell: 4.3041 4.3041 4.3041 Å, 90.00 90.00 90.00°
Closest atoms and distances in Å follow each position.
Space group Pm-3m (No. 221)
One atom of each set of equivalent atoms:
Cu 0.0000 0.0000 0.0000 [1 per cell]  6 Ni 2.15
Ni 0.0000 0.0000 0.5000 [3 per cell]  2 Cu 2.15
S 0.5000 0.5000 0.5000 [1 per cell]  12 Ni 3.04

## Properties
For the uncorrected energy, the calculation gives -3.97 eV/atom. The value obtained for the volume is 15.95 A^3/atom.